1.
VASP calculation (GGA-PBE) on a relaxed PmHo2Er6Sc crystal.

abc: 8.6426 8.6426 9.3205
angles: 93.46 93.46 117.18
Fractional positions:
1 Pm 0.0247 0.9753 0.7500
2 Pm 0.9753 0.0247 0.2500
3 Ho 0.2024 0.3070 0.5493
4 Ho 0.3070 0.2024 0.0493
5 Ho 0.6930 0.7976 0.9507
6 Ho 0.7976 0.6930 0.4507
7 Er 0.0065 0.5622 0.6880
8 Er 0.1267 0.7528 0.0569
9 Er 0.2472 0.8733 0.4431
10 Er 0.2922 0.5097 0.8855
11 Er 0.4378 0.9935 0.8120
12 Er 0.4903 0.7078 0.6145
13 Er 0.5097 0.2922 0.3855
14 Er 0.5622 0.0065 0.1880
15 Er 0.7078 0.4903 0.1145
16 Er 0.7528 0.1267 0.5569
17 Er 0.8733 0.2472 0.9431
18 Er 0.9935 0.4378 0.3120
19 Sc 0.4137 0.5863 0.2500
20 Sc 0.5863 0.4137 0.7500

Summary:
Formation enthalpy at 0 K, eV per atom: 0.13
Spin magnetization, μB/atom: 0.000
Symmetry: C2/c (15)
Raw total energy, eV/cell: -92.656
Theoretical density, Mg/m³: 8.22

***

2.
VASP calculation (GGA-PBE) on a relaxed Tl2GeTe5 crystal.

abc: 8.4663 8.4663 15.0925
angles: 90.00 90.00 90.00
Fractional positions:
1 Tl 0.0000 0.0000 0.1212
2 Tl 0.0000 0.0000 0.3785
3 Tl 0.0000 0.0000 0.6215
4 Tl 0.0000 0.0000 0.8788
5 Tl 0.5000 0.5000 0.1212
6 Tl 0.5000 0.5000 0.3785
7 Tl 0.5000 0.5000 0.6215
8 Tl 0.5000 0.5000 0.8788
9 Ge 0.0000 0.5000 0.1182
10 Ge 0.0000 0.5000 0.8818
11 Ge 0.5000 0.0000 0.1182
12 Ge 0.5000 0.0000 0.8818
13 Te 0.0000 0.5000 0.3714
14 Te 0.0000 0.5000 0.6286
15 Te 0.1680 0.3320 0.0000
16 Te 0.1788 0.6788 0.2198
17 Te 0.1788 0.6788 0.7802
18 Te 0.1867 0.6867 0.5000
19 Te 0.3133 0.1867 0.5000
20 Te 0.3212 0.1788 0.2198
21 Te 0.3212 0.1788 0.7802
22 Te 0.3320 0.8320 0.0000
23 Te 0.5000 0.0000 0.3714
24 Te 0.5000 0.0000 0.6286
25 Te 0.6680 0.1680 0.0000
26 Te 0.6788 0.8212 0.2198
27 Te 0.6788 0.8212 0.7802
28 Te 0.6867 0.8133 0.5000
29 Te 0.8133 0.3133 0.5000
30 Te 0.8212 0.3212 0.2198
31 Te 0.8212 0.3212 0.7802
32 Te 0.8320 0.6680 0.0000

Summary:
Spin magnetization, μB/atom: 0.000
Symmetry: P4/mbm (127)
Raw total energy, eV/cell: -105.151
Formation energy (no corrections), kJ/mol of formula units: -119
Theoretical density, Mg/m³: 6.87

***

3.
VASP calculation (GGA-PBE) on a relaxed TlMo2Pt crystal.

abc: 2.8310 4.2476 5.8057
angles: 90.00 90.08 90.00
Fractional positions:
1 Tl 0.0000 0.0000 0.0000
2 Mo 0.4984 0.5000 0.7184
3 Mo 0.5016 0.5000 0.2816
4 Pt 0.0000 0.0000 0.5000

Summary:
Formation enthalpy at 0 K, eV per atom: 0.32
Spin magnetization, μB/atom: 0.000
Symmetry: P2/m (10)
Raw total energy, eV/cell: -28.778
Theoretical density, Mg/m³: 14.07

***

4.
VASP calculation (GGA-PBE) on a relaxed TiVReMo crystal.

abc: 4.3910 4.3910 4.3910
angles: 60.00 60.00 60.00
Fractional positions:
1 Ti 0.0000 0.0000 0.0000
2 V 0.2500 0.2500 0.2500
3 Re 0.7500 0.7500 0.7500
4 Mo 0.5000 0.5000 0.5000

Summary:
Formation enthalpy at 0 K, eV per atom: -0.24
Spin magnetization, μB/atom: 0.000
Symmetry: F-43m (216)
Raw total energy, eV/cell: -41.242
Theoretical density, Mg/m³: 10.57

***

5.
VASP calculation (GGA-PBE) on a relaxed CeHo2Al crystal.

abc: 5.2727 5.2727 5.2727
angles: 60.00 60.00 60.00
Fractional positions:
1 Ce 0.0000 0.0000 0.0000
2 Ho 0.2500 0.2500 0.2500
3 Ho 0.7500 0.7500 0.7500
4 Al 0.5000 0.5000 0.5000

Summary:
Formation enthalpy at 0 K, eV per atom: 0.00
Spin magnetization, μB/atom: 0.000
Symmetry: Fm-3m (225)
Raw total energy, eV/cell: -18.824
Theoretical density, Mg/m³: 7.96

***

6.
VASP calculation (GGA-PBE) on a relaxed Ba3Tl2Cd2Hg4 crystal.

abc: 5.3404 5.3404 14.8271
angles: 90.00 90.00 120.00
Fractional positions:
1 Ba 0.0000 0.0000 0.0000
2 Ba 0.0000 0.0000 0.2848
3 Ba 0.0000 0.0000 0.7152
4 Tl 0.3333 0.6667 0.1410
5 Tl 0.6667 0.3333 0.8590
6 Cd 0.3333 0.6667 0.5809
7 Cd 0.6667 0.3333 0.4191
8 Hg 0.3333 0.6667 0.3870
9 Hg 0.3333 0.6667 0.8661
10 Hg 0.6667 0.3333 0.1339
11 Hg 0.6667 0.3333 0.6130

Summary:
Formation enthalpy at 0 K, eV per atom: -0.35
Spin magnetization, μB/atom: 0.000
Symmetry: P-3m1 (164)
Raw total energy, eV/cell: -17.423
Theoretical density, Mg/m³: 8.38